First-principles (PBE) data for a geometry-optimized YPu2Bi structure, as listed in Alexandria via LeMat-Bulk.

* energy of formation from the pure elements: -0.2536 eV/atom

abc: 5.2790 4.5998 4.5998
angles: 90.00 90.00 90.00
Last column: nearest neighbours and their distance in Å.
Fractional positions:
Y1 0.5000 0.0000 0.0000  4 Bi 3.25, 8 Pu 3.50
Bi1 0.5000 0.5000 0.5000  4 Y 3.25, 8 Pu 3.50
Pu1 0.0000 0.0000 0.5000  4 Pu 3.25, 4 Bi 3.50, 4 Y 3.50
Pu2 0.0000 0.5000 0.0000  4 Pu 3.25, 4 Bi 3.50, 4 Y 3.50

---

First-principles (PBE) data for a geometry-optimized AcTlHgPt structure, as listed in Alexandria via LeMat-Bulk.

* polymorph energy (0 for the lowest one): 0.07 eV per formula unit
* energy of formation from the pure elements: -0.4864 eV/atom

abc: 5.3003 5.3003 5.3003
angles: 60.00 60.00 60.00
Last column: nearest neighbours and their distance in Å.
Fractional positions:
Ac1 0.0000 0.0000 0.0000  4 Hg 3.25, 4 Pt 3.25
Tl1 0.5000 0.5000 0.5000  4 Hg 3.25, 4 Pt 3.25
Pt1 0.2500 0.2500 0.2500  4 Tl 3.25, 4 Ac 3.25
Hg1 0.7500 0.7500 0.7500  4 Tl 3.25, 4 Ac 3.25

---

First-principles (PBE) data for a geometry-optimized TbLuAlCd structure, as listed in Alexandria via LeMat-Bulk.

* energy of formation from the pure elements: -0.3390 eV/atom

abc: 5.1595 5.1595 5.1595
angles: 60.00 60.00 60.00
Last column: nearest neighbours and their distance in Å.
Fractional positions:
Lu1 0.0000 0.0000 0.0000  4 Al 3.16, 4 Cd 3.16
Tb1 0.5000 0.5000 0.5000  4 Cd 3.16, 4 Al 3.16
Al1 0.2500 0.2500 0.2500  4 Tb 3.16, 4 Lu 3.16
Cd1 0.7500 0.7500 0.7500  4 Lu 3.16, 4 Tb 3.16

---

First-principles (PBE) data for a geometry-optimized Tb3PrAl4 structure, as listed in Alexandria via LeMat-Bulk.

* energy of formation from the pure elements: -0.3772 eV/atom

abc: 5.1593 7.3313 10.3198
angles: 90.00 90.00 90.00
Last column: nearest neighbours and their distance in Å.
Fractional positions:
Pr1 0.0000 0.5000 0.0000  8 Al 3.20
Pr2 0.0000 0.5000 0.5000  8 Al 3.20
Tb1 0.0000 0.0000 0.0000  8 Al 3.13
Tb2 0.0000 0.0000 0.5000  8 Al 3.13
Tb3 0.5014 0.0000 0.7500  8 Al 3.13
Tb4 0.4986 0.0000 0.2500  8 Al 3.13
Tb5 0.5011 0.5000 0.7500  8 Al 3.20
Tb6 0.4989 0.5000 0.2500  8 Al 3.20
Al1 0.5000 0.7582 0.0000  6 Tb 3.13-3.20, 2 Pr 3.20
Al2 0.5000 0.7582 0.5000  6 Tb 3.13-3.20, 2 Pr 3.20
Al3 0.5000 0.2418 0.0000  6 Tb 3.13-3.20, 2 Pr 3.20
Al4 0.5000 0.2418 0.5000  6 Tb 3.13-3.20, 2 Pr 3.20
Al5 0.0016 0.7582 0.7500  6 Tb 3.13-3.20, 2 Pr 3.20
Al6 0.9984 0.7582 0.2500  6 Tb 3.13-3.20, 2 Pr 3.20
Al7 0.9984 0.2418 0.2500  6 Tb 3.13-3.20, 2 Pr 3.20
Al8 0.0016 0.2418 0.7500  6 Tb 3.13-3.20, 2 Pr 3.20

---

First-principles (PBE) data for a geometry-optimized LiNdGdMg structure, as listed in Alexandria via LeMat-Bulk.

* energy of formation from the pure elements: 0.0105 eV/atom

abc: 5.4142 5.4142 5.4142
angles: 60.00 60.00 60.00
Last column: nearest neighbours and their distance in Å.
Fractional positions:
Mg1 0.5000 0.5000 0.5000  4 Gd 3.32, 4 Nd 3.32
Gd1 0.7500 0.7500 0.7500  4 Mg 3.32, 4 Li 3.32
Nd1 0.2500 0.2500 0.2500  4 Li 3.32, 4 Mg 3.32
Li1 0.0000 0.0000 0.0000  4 Gd 3.32, 4 Nd 3.32

---

First-principles (PBE) data for a geometry-optimized Sr2In4Ag3Sn structure, as listed in Alexandria via LeMat-Bulk.

* energy of formation from the pure elements: -0.2916 eV/atom

abc: 4.6627 4.6627 12.3175
angles: 90.00 90.00 90.00
Last column: nearest neighbours and their distance in Å.
Fractional positions:
Sr1 0.5000 0.0000 0.2429  6 Ag 3.56-3.93, 8 In 3.58-3.79, 2 Sn 3.93
Sr2 0.0000 0.5000 0.7571  6 Ag 3.56-3.93, 8 In 3.58-3.79, 2 Sn 3.93
In1 0.5000 0.5000 0.0000  4 Ag 2.86
In2 0.0000 0.0000 0.0000  4 Ag 2.86
In3 0.5000 0.0000 0.6442  3 Ag 2.72-2.93, 2 Sn 2.93
In4 0.0000 0.5000 0.3558  3 Ag 2.72-2.93, 2 Sn 2.93
Ag1 0.0000 0.0000 0.5000  4 In 2.93
Ag2 0.5000 0.0000 0.8652  5 In 2.72-2.86
Ag3 0.0000 0.5000 0.1348  5 In 2.72-2.86
Sn1 0.5000 0.5000 0.5000  4 In 2.93